# V2P3O11 (PBE+U, relaxed)
data_V2P3O11
_cell_length_a 11.793
_cell_length_b 8.558
_cell_length_c 8.975
_cell_angle_alpha 90.00
_cell_angle_beta 114.24
_cell_angle_gamma 90.00
_space_group_name_H-M_alt 'C 1 2/c 1'
_space_group_IT_number 15
loop_
_space_group_symop_operation_xyz
'x,y,z'
'-x,-y,-z'
'-x,y,-z+1/2'
'x,-y,z+1/2'
'x+1/2,y+1/2,z'
'-x+1/2,-y+1/2,-z'
'-x+1/2,y+1/2,-z+1/2'
'x+1/2,-y+1/2,z+1/2'
loop_
_atom_site_label
_atom_site_type_symbol
_atom_site_fract_x
_atom_site_fract_y
_atom_site_fract_z
V1 V 0.126 0.237 0.040
P1 P 0.000 0.040 0.250
P2 P 0.108 0.436 0.710
O1 O 0.000 0.483 0.250
O2 O 0.045 0.323 0.568
O3 O 0.077 0.064 0.898
O4 O 0.092 0.140 0.211
O5 O 0.178 0.433 0.171
O6 O 0.191 0.345 0.869
# Energy ... -7.5053 eV/atom